Entry from the Alexandria database: PRh2W after structural relaxation (PBE-GGA).

Lattice parameters (Å, degrees): 8.3871 8.3871 8.3871 19.46 19.46 19.46
With the nearest neighbours (Å) after each atom.
Element x y z (fractional)
1 P 0.0000 0.0000 0.0000  3 Rh 2.39, 3 W 2.60
2 Rh 0.2628 0.2628 0.2628  3 P 2.39
3 Rh 0.5009 0.5009 0.5009  3 W 2.67, 9 Rh 2.83-2.86
4 W 0.7486 0.7486 0.7486  3 P 2.60, 3 Rh 2.67, 6 W 2.83

Calculated values
**Size of the total moment**: 0.00 μB per formula unit
**Energy**: -33.49 eV per cell
**Symmetry**: R3m
**ΔE_f**: -0.1065 eV per atom

Entry from the Alexandria database: TaOsAu2 after structural relaxation (PBE-GGA).

Lattice parameters (Å, degrees): 5.1996 5.1949 3.8918 68.08 67.95 43.98
With the nearest neighbours (Å) after each atom.
Element x y z (fractional)
1 Ta 0.0000 0.0000 0.0000  4 Os 2.75-2.76, 8 Au 2.94
2 Os 0.5000 0.5000 0.5000  4 Ta 2.75-2.76, 8 Au 2.94
3 Au 0.2500 0.2500 0.2500  4 Au 2.75-2.76, 4 Os 2.94, 4 Ta 2.94
4 Au 0.7500 0.7500 0.7500  4 Au 2.75-2.76, 4 Ta 2.94, 4 Os 2.94

Calculated values
**Size of the total moment**: 0.00 μB per formula unit
**Energy**: -29.12 eV per cell
**E above lowest polymorph**: 93 meV per atom
**Symmetry**: Fmmm
**ΔE_f**: 0.1296 eV per atom

Entry from the Alexandria database: KAgPt2 after structural relaxation (PBE-GGA).

Lattice parameters (Å, degrees): 2.8182 4.0580 7.5451 90.00 90.00 90.00
With the nearest neighbours (Å) after each atom.
Element x y z (fractional)
1 K 0.0000 0.0000 0.0000  2 K 2.82
2 Ag 0.5000 0.5000 0.6674  5 Pt 2.76-2.93, 2 Ag 2.82
3 Pt 0.0000 0.0000 0.4588  6 Pt 2.74-2.82, 4 Ag 2.93
4 Pt 0.5000 0.5000 0.3014  6 Pt 2.74-2.82, 1 Ag 2.76

Calculated values
**Size of the total moment**: 0.00 μB per formula unit
**Energy**: -15.51 eV per cell
**Symmetry**: Pmm2
**ΔE_f**: 0.1308 eV per atom

Entry from the Alexandria database: YTcAu2 after structural relaxation (PBE-GGA).

Lattice parameters (Å, degrees): 5.3018 5.3018 5.3018 133.45 133.25 68.10
With the nearest neighbours (Å) after each atom.
Element x y z (fractional)
1 Y 0.0000 0.0000 0.0000  8 Au 2.97-3.04, 4 Tc 3.04
2 Tc 0.7492 0.2492 0.5000  8 Au 2.97-3.05, 4 Y 3.04
3 Au 0.2502 0.7502 0.5000  4 Tc 2.97, 4 Au 3.03-3.04, 4 Y 3.04
4 Au 0.4999 0.4999 0.0000  4 Y 2.97, 4 Tc 3.03-3.05, 4 Au 3.03-3.04

Calculated values
**Size of the total moment**: 1.95 μB per formula unit
**Energy**: -23.80 eV per cell
**E above lowest polymorph**: 78 meV per atom
**Symmetry**: Imm2
**ΔE_f**: -0.1043 eV per atom

Entry from the Alexandria database: AlPRh2 after structural relaxation (PBE-GGA).

Lattice parameters (Å, degrees): 4.2280 4.2280 3.0283 90.00 90.00 94.08
With the nearest neighbours (Å) after each atom.
Element x y z (fractional)
1 Al 0.0000 0.0000 0.0000  8 Rh 2.60, 2 P 2.88
2 P 0.5000 0.5000 0.0000  8 Rh 2.60, 2 Al 2.88
3 Rh 0.0000 0.5000 0.5000  4 Al 2.60, 4 P 2.60, 2 Rh 2.88
4 Rh 0.5000 0.0000 0.5000  4 Al 2.60, 4 P 2.60, 2 Rh 2.88

Calculated values
**Size of the total moment**: 0.00 μB per formula unit
**Energy**: -26.13 eV per cell
**E above lowest polymorph**: 99 meV per atom
**Symmetry**: Cmmm
**ΔE_f**: -0.5682 eV per atom

Entry from the Alexandria database: BaSmTlIn after structural relaxation (PBE-GGA).

Lattice parameters (Å, degrees): 5.7537 5.7537 5.7537 60.00 60.00 60.00
With the nearest neighbours (Å) after each atom.
Element x y z (fractional)
1 Ba 0.0000 0.0000 0.0000  4 In 3.52, 4 Tl 3.52
2 Sm 0.5000 0.5000 0.5000  4 In 3.52, 4 Tl 3.52
3 Tl 0.2500 0.2500 0.2500  4 Ba 3.52, 4 Sm 3.52
4 In 0.7500 0.7500 0.7500  4 Sm 3.52, 4 Ba 3.52

Calculated values
**Size of the total moment**: 0.00 μB per formula unit
**Energy**: -12.95 eV per cell
**Symmetry**: F-43m
**ΔE_f**: -0.2998 eV per atom

Entry from the Alexandria database: ZrC after structural relaxation (PBE-GGA).

Lattice parameters (Å, degrees): 3.2911 3.2911 11.6592 90.00 90.00 120.00
With the nearest neighbours (Å) after each atom.
Element x y z (fractional)
1 Zr 0.3333 0.6667 0.1213  6 C 2.42
2 Zr 0.3333 0.6667 0.3787  6 C 2.42
3 Zr 0.6667 0.3333 0.6213  6 C 2.42
4 Zr 0.6667 0.3333 0.8787  6 C 2.42
5 C 0.0000 0.0000 0.2500  3 C 1.90
6 C 0.0000 0.0000 0.7500  3 C 1.90
7 C 0.3333 0.6667 0.7500  3 C 1.90
8 C 0.6667 0.3333 0.2500  3 C 1.90

Calculated values
**Size of the total moment**: 0.00 μB per formula unit
**Energy**: -68.26 eV per cell
**E above lowest polymorph**: 1161 meV per atom
**Symmetry**: P6_3/mmc
**ΔE_f**: 0.3539 eV per atom

Entry from the Alexandria database: TiPd3Br after structural relaxation (PBE-GGA).

Lattice parameters (Å, degrees): 4.7625 4.7625 4.7625 90.00 90.00 90.00
With the nearest neighbours (Å) after each atom.
Element x y z (fractional)
1 Ti 0.0000 0.0000 0.0000  6 Pd 2.38
2 Pd 0.0000 0.0000 0.5000  2 Ti 2.38
3 Pd 0.0000 0.5000 0.0000  2 Ti 2.38
4 Pd 0.5000 0.0000 0.0000  2 Ti 2.38
5 Br 0.5000 0.5000 0.5000  12 Pd 3.37

Calculated values
**Size of the total moment**: 0.00 μB per formula unit
**Energy**: -22.56 eV per cell
**Uncorrected formation energy**: 2.59 eV/f.u.
**E above lowest polymorph**: 0 meV per atom
**Symmetry**: Pm-3m

> Look up the size of the total moment of the seventh one.

0.00 μB per formula unit

> Which of these has the lowest energy?

ZrC

> Among the records above, which one has the lowest energy?

ZrC